Record 1
Compound: Zn3TcF
Source: Alexandria via LeMat-Bulk
Functional: PBE
Structure: optimized geometry

Cell and atoms, written as POSCAR:
```
Zn3TcF
1.0
4.163 0.000 0.000
0.000 4.163 0.000
0.000 0.000 4.163
Zn F Tc
3 1 1
direct
0.000 0.500 0.000 Zn
0.000 0.000 0.500 Zn
0.500 0.000 0.000 Zn
0.000 0.000 0.000 F
0.500 0.500 0.500 Tc
```

E_tot: -3.209 eV per atom
Total magnetic moment: 0.00 μB per atom
Energy above the most stable polymorph in this dataset: 0 kJ/mol of formula units
Space-group type: No. 221
Volume: 72 Å³ per cell


Record 2
Compound: Ce2Ga2S7
Source: Alexandria via LeMat-Bulk
Functional: PBE
Structure: optimized geometry

Cell and atoms, written as POSCAR:
```
Ce2Ga2S7
1.0
6.195 -0.191 -0.218
-0.638 6.887 -0.182
-0.638 -1.097 6.801
Ga S Ce
2 7 2
direct
0.582 0.766 0.766 Ga
0.418 0.234 0.234 Ga
0.500 0.000 0.000 S
0.767 0.920 0.557 S
0.233 0.443 0.080 S
0.251 0.595 0.595 S
0.233 0.080 0.443 S
0.749 0.405 0.405 S
0.767 0.557 0.920 S
0.000 0.705 0.295 Ce
0.000 0.295 0.705 Ce
```

E_tot: -5.348 eV per atom
Total magnetic moment: 0.00 μB per atom
Space-group type: No. 12
Volume: 287 Å³ per cell


Record 3
Compound: Mg3GePt
Source: Alexandria via LeMat-Bulk
Functional: PBE
Structure: optimized geometry

Cell and atoms, written as POSCAR:
```
Mg3GePt
1.0
4.961 0.000 0.000
0.000 4.961 0.000
0.000 0.000 4.961
Mg Pt Ge
3 1 1
direct
0.000 0.500 0.000 Mg
0.500 0.000 0.000 Mg
0.000 0.000 0.500 Mg
0.000 0.000 0.000 Pt
0.500 0.500 0.500 Ge
```

E_tot: -3.188 eV per atom
Energy of formation: -0.10 eV per atom
Total magnetic moment: 0.00 μB per atom
Energy above the most stable polymorph in this dataset: 0 kJ/mol of formula units
Space-group type: No. 221
Volume: 122 Å³ per cell


Record 4
Compound: Na2TeBr4
Source: Alexandria via LeMat-Bulk
Functional: PBE
Structure: optimized geometry

Cell and atoms, written as POSCAR:
```
Na2TeBr4
1.0
7.573 0.000 0.000
0.000 7.573 0.000
-3.786 -3.786 3.978
Te Br Na
1 4 2
direct
0.500 0.500 0.000 Te
0.240 0.240 0.995 Br
0.244 0.760 0.005 Br
0.756 0.756 0.995 Br
0.760 0.244 0.005 Br
0.250 0.750 0.500 Na
0.750 0.250 0.500 Na
```

E_tot: -2.699 eV per atom
Total magnetic moment: 0.00 μB per atom
Space-group type: No. 121
Volume: 228 Å³ per cell


What is the formula in the third record? Mg3GePt


What did the third record say?
Compound: Mg3GePt
Source: Alexandria via LeMat-Bulk
Functional: PBE
Structure: optimized geometry

Cell and atoms, written as POSCAR:
```
Mg3GePt
1.0
4.961 0.000 0.000
0.000 4.961 0.000
0.000 0.000 4.961
Mg Pt Ge
3 1 1
direct
0.000 0.500 0.000 Mg
0.500 0.000 0.000 Mg
0.000 0.000 0.500 Mg
0.000 0.000 0.000 Pt
0.500 0.500 0.500 Ge
```

E_tot: -3.188 eV per atom
Energy of formation: -0.10 eV per atom
Total magnetic moment: 0.00 μB per atom
Energy above the most stable polymorph in this dataset: 0 kJ/mol of formula units
Space-group type: No. 221
Volume: 122 Å³ per cell


What is the formula in the third record? Mg3GePt


Which of these has the highest E_tot? Na2TeBr4